## 1
The following is a GGA-PBE calculation of CrFeH2 after structural relaxation, from Alexandria via LeMat-Bulk.

a = 5.317 Å, b = 4.607 Å, c = 4.227 Å
α = 90.00°, β = 90.00°, γ = 90.00°
Fractional coordinates of all 16 atoms:
Cr (0.127, 0.085, 0.250)
Cr (0.127, 0.415, 0.750)
Cr (0.873, 0.585, 0.250)
Cr (0.873, 0.915, 0.750)
Fe (0.375, 0.583, 0.250)
Fe (0.375, 0.917, 0.750)
Fe (0.625, 0.083, 0.250)
Fe (0.625, 0.417, 0.750)
H (0.124, 0.750, 0.000)
H (0.124, 0.750, 0.500)
H (0.383, 0.250, 0.000)
H (0.383, 0.250, 0.500)
H (0.617, 0.750, 0.000)
H (0.617, 0.750, 0.500)
H (0.876, 0.250, 0.000)
H (0.876, 0.250, 0.500)

Computed properties:
DOS at the Fermi energy: 0.507 states/eV per atom

---

## 2
The following is a GGA-PBE calculation of CrFeH2 after structural relaxation, from Alexandria via LeMat-Bulk.

a = 3.445 Å, b = 3.445 Å, c = 3.445 Å
α = 60.00°, β = 60.00°, γ = 60.00°
Fractional coordinates of all 4 atoms:
Cr (0.000, 0.000, 0.000)
Fe (0.500, 0.500, 0.500)
H (0.250, 0.250, 0.250)
H (0.750, 0.750, 0.750)

Computed properties:
DOS at the Fermi energy: 1.392 states/eV per atom

---

1 comes first in stability; the runner-up is 636 meV per atom higher.

---

## 1
The following is a GGA-PBE calculation of CrFeH2 after structural relaxation, from Alexandria via LeMat-Bulk.

a = 4.719 Å, b = 4.719 Å, c = 4.719 Å
α = 131.52°, β = 131.52°, γ = 70.99°
Fractional coordinates of all 8 atoms:
Cr (0.000, 0.000, 0.000)
Cr (0.750, 0.250, 0.500)
Fe (0.250, 0.750, 0.500)
Fe (0.500, 0.500, 0.000)
H (0.136, 0.625, 0.011)
H (0.375, 0.386, 0.511)
H (0.614, 0.125, 0.989)
H (0.875, 0.864, 0.489)

Computed properties:
DOS at the Fermi energy: 0.795 states/eV per atom

---

## 2
The following is a GGA-PBE calculation of CrFeH2 after structural relaxation, from Alexandria via LeMat-Bulk.

a = 4.916 Å, b = 4.916 Å, c = 4.916 Å
α = 31.34°, β = 31.34°, γ = 31.34°
Fractional coordinates of all 4 atoms:
Cr (0.000, 0.000, 0.000)
Fe (0.500, 0.500, 0.500)
H (0.120, 0.120, 0.120)
H (0.880, 0.880, 0.880)

Computed properties:
DOS at the Fermi energy: 0.704 states/eV per atom

---

## 3
The following is a GGA-PBE calculation of CrFeH2 after structural relaxation, from Alexandria via LeMat-Bulk.

a = 4.873 Å, b = 4.873 Å, c = 4.873 Å
α = 31.17°, β = 31.17°, γ = 31.17°
Fractional coordinates of all 4 atoms:
Cr (0.000, 0.000, 0.000)
Fe (0.175, 0.175, 0.175)
H (0.584, 0.584, 0.584)
H (0.755, 0.755, 0.755)

Computed properties:
DOS at the Fermi energy: 0.834 states/eV per atom

---

1 comes first in stability; the runner-up is 31 meV per atom higher.

---

## 1
The following is a GGA-PBE calculation of CrFe2HIr after structural relaxation, from Alexandria via LeMat-Bulk.

a = 3.736 Å, b = 3.736 Å, c = 3.790 Å
α = 90.00°, β = 90.00°, γ = 90.00°
Fractional coordinates of all 5 atoms:
Cr (0.000, 0.000, 0.000)
Fe (0.000, 0.500, 0.500)
Fe (0.500, 0.000, 0.500)
H (0.500, 0.500, 0.500)
Ir (0.500, 0.500, 0.000)

Computed properties:
DOS at the Fermi energy: 0.564 states/eV per atom

---

## 2
The following is a GGA-PBE calculation of CrFe2HIr after structural relaxation, from Alexandria via LeMat-Bulk.

a = 3.677 Å, b = 3.677 Å, c = 3.792 Å
α = 90.00°, β = 90.00°, γ = 90.00°
Fractional coordinates of all 5 atoms:
Cr (0.000, 0.000, 0.000)
Fe (0.000, 0.500, 0.500)
Fe (0.500, 0.000, 0.500)
H (0.000, 0.000, 0.500)
Ir (0.500, 0.500, 0.000)

Computed properties:
DOS at the Fermi energy: 0.862 states/eV per atom

---

2 comes first in stability; the runner-up is 27 meV per atom higher.

---

## 1
The following is a GGA-PBE calculation of Cr2FeHIr after structural relaxation, from Alexandria via LeMat-Bulk.

a = 3.707 Å, b = 3.707 Å, c = 3.786 Å
α = 90.00°, β = 90.00°, γ = 90.00°
Fractional coordinates of all 5 atoms:
Cr (0.000, 0.500, 0.000)
Cr (0.500, 0.000, 0.000)
Fe (0.000, 0.000, 0.500)
H (0.500, 0.500, 0.000)
Ir (0.500, 0.500, 0.500)

Computed properties:
DOS at the Fermi energy: 0.803 states/eV per atom

---

## 2
The following is a GGA-PBE calculation of Cr2FeHIr after structural relaxation, from Alexandria via LeMat-Bulk.

a = 3.708 Å, b = 3.708 Å, c = 3.636 Å
α = 90.00°, β = 90.00°, γ = 90.00°
Fractional coordinates of all 5 atoms:
Cr (0.000, 0.500, 0.000)
Cr (0.500, 0.000, 0.000)
Fe (0.000, 0.000, 0.500)
H (0.000, 0.000, 0.000)
Ir (0.500, 0.500, 0.500)

Computed properties:
DOS at the Fermi energy: 1.152 states/eV per atom

---

2 comes first in stability; the runner-up is 72 meV per atom higher.

---

## 1
The following is a GGA-PBE calculation of MnCr2FeH after structural relaxation, from Alexandria via LeMat-Bulk.

a = 3.641 Å, b = 3.641 Å, c = 3.510 Å
α = 90.00°, β = 90.00°, γ = 90.00°
Fractional coordinates of all 5 atoms:
Mn (0.000, 0.000, 0.000)
Cr (0.000, 0.500, 0.500)
Cr (0.500, 0.000, 0.500)
Fe (0.500, 0.500, 0.000)
H (0.500, 0.500, 0.500)

Computed properties:
DOS at the Fermi energy: 1.165 states/eV per atom

---

## 2
The following is a GGA-PBE calculation of MnCr2FeH after structural relaxation, from Alexandria via LeMat-Bulk.

a = 3.632 Å, b = 3.632 Å, c = 3.589 Å
α = 90.00°, β = 90.00°, γ = 90.00°
Fractional coordinates of all 5 atoms:
Mn (0.000, 0.000, 0.000)
Cr (0.000, 0.500, 0.500)
Cr (0.500, 0.000, 0.500)
Fe (0.500, 0.500, 0.000)
H (0.000, 0.000, 0.500)

Computed properties:
DOS at the Fermi energy: 0.851 states/eV per atom

---

2 comes first in stability; the runner-up is 17 meV per atom higher.

---

## 1
The following is a GGA-PBE calculation of Nb2CrFeH after structural relaxation, from Alexandria via LeMat-Bulk.

a = 4.339 Å, b = 4.339 Å, c = 3.297 Å
α = 90.00°, β = 90.00°, γ = 90.00°
Fractional coordinates of all 5 atoms:
Nb (0.000, 0.500, 0.000)
Nb (0.500, 0.000, 0.000)
Cr (0.000, 0.000, 0.500)
Fe (0.500, 0.500, 0.500)
H (0.000, 0.000, 0.000)

Computed properties:
DOS at the Fermi energy: 0.670 states/eV per atom

---

## 2
The following is a GGA-PBE calculation of Nb2CrFeH after structural relaxation, from Alexandria via LeMat-Bulk.

a = 4.347 Å, b = 4.347 Å, c = 3.254 Å
α = 90.00°, β = 90.00°, γ = 90.00°
Fractional coordinates of all 5 atoms:
Nb (0.000, 0.500, 0.000)
Nb (0.500, 0.000, 0.000)
Cr (0.000, 0.000, 0.500)
Fe (0.500, 0.500, 0.500)
H (0.500, 0.500, 0.000)

Computed properties:
DOS at the Fermi energy: 0.650 states/eV per atom

---

2 comes first in stability; the runner-up is 34 meV per atom higher.

---

## 1
The following is a GGA-PBE calculation of NbCrFe2H after structural relaxation, from Alexandria via LeMat-Bulk.

a = 3.714 Å, b = 3.714 Å, c = 3.811 Å
α = 90.00°, β = 90.00°, γ = 90.00°
Fractional coordinates of all 5 atoms:
Nb (0.000, 0.000, 0.000)
Cr (0.500, 0.500, 0.000)
Fe (0.000, 0.500, 0.500)
Fe (0.500, 0.000, 0.500)
H (0.500, 0.500, 0.500)

Computed properties:
DOS at the Fermi energy: 1.103 states/eV per atom

---

## 2
The following is a GGA-PBE calculation of NbCrFe2H after structural relaxation, from Alexandria via LeMat-Bulk.

a = 3.653 Å, b = 3.653 Å, c = 4.026 Å
α = 90.00°, β = 90.00°, γ = 90.00°
Fractional coordinates of all 5 atoms:
Nb (0.000, 0.000, 0.000)
Cr (0.500, 0.500, 0.000)
Fe (0.000, 0.500, 0.500)
Fe (0.500, 0.000, 0.500)
H (0.000, 0.000, 0.500)

Computed properties:
DOS at the Fermi energy: 1.047 states/eV per atom

---

1 comes first in stability; the runner-up is 34 meV per atom higher.

---

## 1
The following is a GGA-PBE calculation of Cr2FeNiH after structural relaxation, from Alexandria via LeMat-Bulk.

a = 3.598 Å, b = 3.598 Å, c = 3.573 Å
α = 90.00°, β = 90.00°, γ = 90.00°
Fractional coordinates of all 5 atoms:
Cr (0.000, 0.500, 0.000)
Cr (0.500, 0.000, 0.000)
Fe (0.000, 0.000, 0.500)
Ni (0.500, 0.500, 0.500)
H (0.500, 0.500, 0.000)

Computed properties:
DOS at the Fermi energy: 0.765 states/eV per atom

---

## 2
The following is a GGA-PBE calculation of Cr2FeNiH after structural relaxation, from Alexandria via LeMat-Bulk.

a = 3.599 Å, b = 3.599 Å, c = 3.579 Å
α = 90.00°, β = 90.00°, γ = 90.00°
Fractional coordinates of all 5 atoms:
Cr (0.000, 0.500, 0.000)
Cr (0.500, 0.000, 0.000)
Fe (0.000, 0.000, 0.500)
Ni (0.500, 0.500, 0.500)
H (0.000, 0.000, 0.000)

Computed properties:
DOS at the Fermi energy: 0.864 states/eV per atom

---

2 comes first in stability; the runner-up is 20 meV per atom higher.

---

## 1
The following is a GGA-PBE calculation of Cr2FeHOs after structural relaxation, from Alexandria via LeMat-Bulk.

a = 3.724 Å, b = 3.724 Å, c = 3.627 Å
α = 90.00°, β = 90.00°, γ = 90.00°
Fractional coordinates of all 5 atoms:
Cr (0.000, 0.500, 0.000)
Cr (0.500, 0.000, 0.000)
Fe (0.000, 0.000, 0.500)
H (0.000, 0.000, 0.000)
Os (0.500, 0.500, 0.500)

Computed properties:
DOS at the Fermi energy: 0.847 states/eV per atom

---

## 2
The following is a GGA-PBE calculation of Cr2FeHOs after structural relaxation, from Alexandria via LeMat-Bulk.

a = 3.705 Å, b = 3.705 Å, c = 3.759 Å
α = 90.00°, β = 90.00°, γ = 90.00°
Fractional coordinates of all 5 atoms:
Cr (0.000, 0.500, 0.000)
Cr (0.500, 0.000, 0.000)
Fe (0.000, 0.000, 0.500)
H (0.500, 0.500, 0.000)
Os (0.500, 0.500, 0.500)

Computed properties:
DOS at the Fermi energy: 0.818 states/eV per atom

---

1 comes first in stability; the runner-up is 78 meV per atom higher.

---

## 1
The following is a GGA-PBE calculation of Cr2FeHRh after structural relaxation, from Alexandria via LeMat-Bulk.

a = 3.693 Å, b = 3.693 Å, c = 3.780 Å
α = 90.00°, β = 90.00°, γ = 90.00°
Fractional coordinates of all 5 atoms:
Cr (0.000, 0.500, 0.000)
Cr (0.500, 0.000, 0.000)
Fe (0.000, 0.000, 0.500)
H (0.500, 0.500, 0.000)
Rh (0.500, 0.500, 0.500)

Computed properties:
DOS at the Fermi energy: 0.783 states/eV per atom

---

## 2
The following is a GGA-PBE calculation of Cr2FeHRh after structural relaxation, from Alexandria via LeMat-Bulk.

a = 3.704 Å, b = 3.704 Å, c = 3.615 Å
α = 90.00°, β = 90.00°, γ = 90.00°
Fractional coordinates of all 5 atoms:
Cr (0.000, 0.500, 0.000)
Cr (0.500, 0.000, 0.000)
Fe (0.000, 0.000, 0.500)
H (0.000, 0.000, 0.000)
Rh (0.500, 0.500, 0.500)

Computed properties:
DOS at the Fermi energy: 0.929 states/eV per atom

---

2 comes first in stability; the runner-up is 32 meV per atom higher.

---

## 1
The following is a GGA-PBE calculation of CrFeHRu2 after structural relaxation, from Alexandria via LeMat-Bulk.

a = 3.843 Å, b = 3.843 Å, c = 3.661 Å
α = 90.00°, β = 90.00°, γ = 90.00°
Fractional coordinates of all 5 atoms:
Cr (0.000, 0.000, 0.000)
Fe (0.500, 0.500, 0.000)
H (0.500, 0.500, 0.500)
Ru (0.000, 0.500, 0.500)
Ru (0.500, 0.000, 0.500)

Computed properties:
DOS at the Fermi energy: 0.786 states/eV per atom

---

## 2
The following is a GGA-PBE calculation of CrFeHRu2 after structural relaxation, from Alexandria via LeMat-Bulk.

a = 3.780 Å, b = 3.780 Å, c = 3.687 Å
α = 90.00°, β = 90.00°, γ = 90.00°
Fractional coordinates of all 5 atoms:
Cr (0.000, 0.000, 0.000)
Fe (0.500, 0.500, 0.000)
H (0.000, 0.000, 0.500)
Ru (0.000, 0.500, 0.500)
Ru (0.500, 0.000, 0.500)

Computed properties:
DOS at the Fermi energy: 1.131 states/eV per atom

---

1 comes first in stability; the runner-up is 87 meV per atom higher.

---

## 1
The following is a GGA-PBE calculation of TaCrFe2H after structural relaxation, from Alexandria via LeMat-Bulk.

a = 3.656 Å, b = 3.656 Å, c = 3.991 Å
α = 90.00°, β = 90.00°, γ = 90.00°
Fractional coordinates of all 5 atoms:
Ta (0.000, 0.000, 0.000)
Cr (0.500, 0.500, 0.000)
Fe (0.000, 0.500, 0.500)
Fe (0.500, 0.000, 0.500)
H (0.000, 0.000, 0.500)

Computed properties:
DOS at the Fermi energy: 1.241 states/eV per atom

---

## 2
The following is a GGA-PBE calculation of TaCrFe2H after structural relaxation, from Alexandria via LeMat-Bulk.

a = 3.717 Å, b = 3.717 Å, c = 3.784 Å
α = 90.00°, β = 90.00°, γ = 90.00°
Fractional coordinates of all 5 atoms:
Ta (0.000, 0.000, 0.000)
Cr (0.500, 0.500, 0.000)
Fe (0.000, 0.500, 0.500)
Fe (0.500, 0.000, 0.500)
H (0.500, 0.500, 0.500)

Computed properties:
DOS at the Fermi energy: 1.132 states/eV per atom

---

2 comes first in stability; the runner-up is 55 meV per atom higher.